ReSiTe | GGA-PBE | optimized geometry

Geometry as POSCAR:
```
ReSiTe
1.0
3.126 0.000 0.000
0.000 3.126 0.000
0.000 0.000 11.945
Re Si Te
2 2 2
Direct
0.000 0.000 0.000
0.500 0.500 0.500
0.000 0.000 0.386
0.500 0.500 0.886
0.000 0.000 0.646
0.500 0.500 0.146
```

Results
Raw formation energy (kcal/mol of atoms): 9.6
DOS at the Fermi energy (states/eV per cell): 3.8
Energy (eV for the cell shown): -39.532